<A>
Density functional theory data (PBE-GGA) for an optimized crystal structure of ZrScAg2.

Lattice parameters (Å, degrees): 6.890 6.890 6.890 90.00 90.00 90.00
Space group Fm-3m (No. 225)
Symmetry-distinct sites (fractional):
1 Zr 0.000 0.000 0.000
2 Sc 0.000 0.000 0.500
3 Ag 0.250 0.250 0.250


<B>
Density functional theory data (PBE-GGA) for an optimized crystal structure of ZrScAg2.

Lattice parameters (Å, degrees): 4.934 4.934 3.359 90.00 90.00 90.00
Space group P4/mmm (No. 123)
Symmetry-distinct sites (fractional):
1 Zr 0.000 0.000 0.000
2 Sc 0.500 0.500 0.000
3 Ag 0.000 0.500 0.500


<B> is preferred energetically. Next in line: 7 meV/atom higher.


<A>
Density functional theory data (PBE-GGA) for an optimized crystal structure of ZrScAg2.

Lattice parameters (Å, degrees): 9.673 2.959 5.844 90.00 97.70 90.00
Space group C2/m (No. 12)
Symmetry-distinct sites (fractional):
1 Zr 0.000 0.000 0.000
2 Sc 0.000 0.500 0.500
3 Ag 0.249 0.000 0.744


<B>
Density functional theory data (PBE-GGA) for an optimized crystal structure of ZrScAg2.

Lattice parameters (Å, degrees): 3.492 3.492 6.672 90.00 90.00 90.00
Space group P4mm (No. 99)
Symmetry-distinct sites (fractional):
1 Zr 0.000 0.000 0.000
2 Sc 0.500 0.500 0.712
3 Ag 0.000 0.000 0.477
4 Ag 0.500 0.500 0.244


<C>
Density functional theory data (PBE-GGA) for an optimized crystal structure of ZrScAg2.

Lattice parameters (Å, degrees): 6.803 6.803 6.803 90.00 90.00 90.00
Space group F-43m (No. 216)
Symmetry-distinct sites (fractional):
1 Zr 0.000 0.000 0.000
2 Sc 0.250 0.250 0.750
3 Ag 0.000 0.000 0.500
4 Ag 0.250 0.250 0.250


<D>
Density functional theory data (PBE-GGA) for an optimized crystal structure of ZrScAg2.

Lattice parameters (Å, degrees): 3.359 4.851 10.076 90.00 90.00 90.00
Space group Imm2 (No. 44)
Symmetry-distinct sites (fractional):
1 Zr 0.000 0.000 0.000
2 Sc 0.000 0.500 0.765
3 Ag 0.000 0.000 0.518
4 Ag 0.000 0.500 0.248


<B> is preferred energetically. Next in line: 124 meV/atom higher.